1) Computed, not measured: an optimized crystal structure of BaTa3Sb at the PBE level of DFT.

a = 5.2258 Å, b = 5.2258 Å, c = 5.2258 Å
α = 90.00°, β = 90.00°, γ = 90.00°
Closest atoms and distances in Å follow each position.
Atoms (fractional coordinates):
Ba  0.0000  0.0000  0.0000  12 Ta 3.70
Ta  0.0000  0.5000  0.5000  2 Sb 2.61
Ta  0.5000  0.0000  0.5000  2 Sb 2.61
Ta  0.5000  0.5000  0.0000  2 Sb 2.61
Sb  0.5000  0.5000  0.5000  6 Ta 2.61

Mass density ... 9.33 g/cm³
M_tot ... 0.2502 μB per atom

***

2) Computed, not measured: an optimized crystal structure of BaTa3Sb at the PBE level of DFT.

a = 5.1262 Å, b = 5.1262 Å, c = 5.1262 Å
α = 90.00°, β = 90.00°, γ = 90.00°
Closest atoms and distances in Å follow each position.
Atoms (fractional coordinates):
Ba  0.0000  0.0000  0.0000  6 Ta 2.56
Ta  0.0000  0.0000  0.5000  2 Ba 2.56
Ta  0.0000  0.5000  0.0000  2 Ba 2.56
Ta  0.5000  0.0000  0.0000  2 Ba 2.56
Sb  0.5000  0.5000  0.5000  12 Ta 3.62

Mass density ... 9.89 g/cm³
M_tot ... 0.0000 μB per atom

***

Last place for stability: 2)

***

1) Computed, not measured: an optimized crystal structure of BaTcSb2 at the PBE level of DFT.

a = 4.6725 Å, b = 4.6725 Å, c = 10.3028 Å
α = 90.00°, β = 90.00°, γ = 90.00°
Closest atoms and distances in Å follow each position.
Atoms (fractional coordinates):
Ba  0.0000  0.0000  0.0000  8 Sb 3.30-3.48, 4 Tc 3.48
Ba  0.5000  0.5000  0.5000  8 Sb 3.30-3.48, 4 Tc 3.48
Tc  0.0000  0.5000  0.2500  8 Sb 3.30-3.48, 4 Ba 3.48
Tc  0.5000  0.0000  0.7500  8 Sb 3.30-3.48, 4 Ba 3.48
Sb  0.0000  0.0000  0.5000  4 Ba 3.30, 4 Tc 3.48, 4 Sb 3.48
Sb  0.0000  0.5000  0.7500  4 Tc 3.30, 4 Ba 3.48, 4 Sb 3.48
Sb  0.5000  0.0000  0.2500  4 Tc 3.30, 4 Ba 3.48, 4 Sb 3.48
Sb  0.5000  0.5000  0.0000  4 Ba 3.30, 4 Tc 3.48, 4 Sb 3.48

Mass density ... 7.07 g/cm³
M_tot ... 0.7211 μB per atom

***

2) Computed, not measured: an optimized crystal structure of BaTcSb2 at the PBE level of DFT.

a = 7.3789 Å, b = 7.3789 Å, c = 7.3789 Å
α = 90.00°, β = 90.00°, γ = 90.00°
Closest atoms and distances in Å follow each position.
Atoms (fractional coordinates):
Ba  0.0000  0.0000  0.0000  8 Sb 3.20
Ba  0.0000  0.5000  0.5000  8 Sb 3.20
Ba  0.5000  0.0000  0.5000  8 Sb 3.20
Ba  0.5000  0.5000  0.0000  8 Sb 3.20
Tc  0.0000  0.0000  0.5000  8 Sb 3.20
Tc  0.0000  0.5000  0.0000  8 Sb 3.20
Tc  0.5000  0.0000  0.0000  8 Sb 3.20
Tc  0.5000  0.5000  0.5000  8 Sb 3.20
Sb  0.2500  0.2500  0.2500  4 Tc 3.20, 4 Ba 3.20
Sb  0.2500  0.2500  0.7500  4 Ba 3.20, 4 Tc 3.20
Sb  0.2500  0.7500  0.2500  4 Ba 3.20, 4 Tc 3.20
Sb  0.2500  0.7500  0.7500  4 Ba 3.20, 4 Tc 3.20
Sb  0.7500  0.2500  0.2500  4 Ba 3.20, 4 Tc 3.20
Sb  0.7500  0.2500  0.7500  4 Ba 3.20, 4 Tc 3.20
Sb  0.7500  0.7500  0.2500  4 Ba 3.20, 4 Tc 3.20
Sb  0.7500  0.7500  0.7500  4 Ba 3.20, 4 Tc 3.20

Mass density ... 7.92 g/cm³
M_tot ... 0.0000 μB per atom

***

Last place for stability: 1)

***

1) Computed, not measured: an optimized crystal structure of BaTcSb2 at the PBE level of DFT.

a = 7.6044 Å, b = 7.6044 Å, c = 7.6044 Å
α = 90.00°, β = 90.00°, γ = 90.00°
Closest atoms and distances in Å follow each position.
Atoms (fractional coordinates):
Ba  0.0000  0.0000  0.0000  4 Sb 3.29, 4 Tc 3.29
Ba  0.0000  0.5000  0.5000  4 Sb 3.29, 4 Tc 3.29
Ba  0.5000  0.0000  0.5000  4 Sb 3.29, 4 Tc 3.29
Ba  0.5000  0.5000  0.0000  4 Sb 3.29, 4 Tc 3.29
Tc  0.2500  0.2500  0.2500  4 Ba 3.29, 4 Sb 3.29
Tc  0.2500  0.7500  0.7500  4 Ba 3.29, 4 Sb 3.29
Tc  0.7500  0.2500  0.7500  4 Ba 3.29, 4 Sb 3.29
Tc  0.7500  0.7500  0.2500  4 Ba 3.29, 4 Sb 3.29
Sb  0.0000  0.0000  0.5000  4 Tc 3.29, 4 Sb 3.29
Sb  0.0000  0.5000  0.0000  4 Tc 3.29, 4 Sb 3.29
Sb  0.2500  0.2500  0.7500  4 Sb 3.29, 4 Ba 3.29
Sb  0.2500  0.7500  0.2500  4 Sb 3.29, 4 Ba 3.29
Sb  0.5000  0.0000  0.0000  4 Tc 3.29, 4 Sb 3.29
Sb  0.5000  0.5000  0.5000  4 Tc 3.29, 4 Sb 3.29
Sb  0.7500  0.2500  0.2500  4 Sb 3.29, 4 Ba 3.29
Sb  0.7500  0.7500  0.7500  4 Sb 3.29, 4 Ba 3.29

Mass density ... 7.23 g/cm³
M_tot ... 0.6140 μB per atom

***

2) Computed, not measured: an optimized crystal structure of BaTcSb2 at the PBE level of DFT.

a = 4.4095 Å, b = 6.5156 Å, c = 8.3443 Å
α = 90.00°, β = 90.00°, γ = 90.00°
Closest atoms and distances in Å follow each position.
Atoms (fractional coordinates):
Ba  0.0000  0.0000  0.0000  8 Sb 3.44-3.60
Ba  0.5000  0.5000  0.5000  8 Sb 3.44-3.60
Tc  0.0000  0.0000  0.5000  4 Sb 2.68
Tc  0.5000  0.5000  0.0000  4 Sb 2.68
Sb  0.0000  0.5000  0.1830  2 Tc 2.68
Sb  0.0000  0.5000  0.8170  2 Tc 2.68
Sb  0.5000  0.0000  0.3170  2 Tc 2.68
Sb  0.5000  0.0000  0.6830  2 Tc 2.68

Mass density ... 6.63 g/cm³
M_tot ... 0.1298 μB per atom

***

3) Computed, not measured: an optimized crystal structure of BaTcSb2 at the PBE level of DFT.

a = 4.9239 Å, b = 4.3926 Å, c = 12.8064 Å
α = 90.00°, β = 90.00°, γ = 90.00°
Closest atoms and distances in Å follow each position.
Atoms (fractional coordinates):
Ba  0.0000  0.0000  0.0000  7 Sb 3.54-3.65, 2 Tc 3.85
Ba  0.0000  0.5000  0.5000  7 Sb 3.54-3.65, 2 Tc 3.85
Tc  0.5000  0.0000  0.2313  4 Sb 2.55-2.60
Tc  0.5000  0.5000  0.7313  4 Sb 2.55-2.60
Sb  0.0000  0.0000  0.2834  2 Tc 2.55
Sb  0.0000  0.5000  0.7834  2 Tc 2.55
Sb  0.5000  0.0000  0.6220  2 Tc 2.60
Sb  0.5000  0.5000  0.1220  2 Tc 2.60

Mass density ... 5.74 g/cm³
M_tot ... 0.0799 μB per atom

***

Last place for stability: 1)

***

1) Computed, not measured: an optimized crystal structure of BaTcSb2 at the PBE level of DFT.

a = 4.8950 Å, b = 4.8950 Å, c = 4.6395 Å
α = 90.00°, β = 90.00°, γ = 90.00°
Closest atoms and distances in Å follow each position.
Atoms (fractional coordinates):
Ba  0.0000  0.0000  0.0000  8 Sb 3.37, 4 Tc 3.46
Tc  0.5000  0.5000  0.0000  8 Sb 3.37, 4 Ba 3.46
Sb  0.0000  0.5000  0.5000  4 Ba 3.37, 4 Tc 3.37, 4 Sb 3.46
Sb  0.5000  0.0000  0.5000  4 Ba 3.37, 4 Tc 3.37, 4 Sb 3.46

Mass density ... 7.15 g/cm³
M_tot ... 0.7331 μB per atom

***

2) Computed, not measured: an optimized crystal structure of BaTcSb2 at the PBE level of DFT.

a = 3.6554 Å, b = 3.6554 Å, c = 8.0117 Å
α = 90.00°, β = 90.00°, γ = 90.00°
Closest atoms and distances in Å follow each position.
Atoms (fractional coordinates):
Ba  0.0000  0.0000  0.0000  5 Sb 3.53-3.62, 4 Ba 3.66, 4 Tc 3.70
Tc  0.5000  0.5000  0.6702  5 Sb 2.73-2.83
Sb  0.0000  0.0000  0.5591  4 Tc 2.73
Sb  0.5000  0.5000  0.3165  1 Tc 2.83

Mass density ... 7.43 g/cm³
M_tot ... 0.0000 μB per atom

***

3) Computed, not measured: an optimized crystal structure of BaTcSb2 at the PBE level of DFT.

a = 3.4197 Å, b = 3.4197 Å, c = 8.4792 Å
α = 90.00°, β = 90.00°, γ = 90.00°
Closest atoms and distances in Å follow each position.
Atoms (fractional coordinates):
Ba  0.0000  0.0000  0.0000  4 Ba 3.42, 8 Sb 3.59
Tc  0.0000  0.0000  0.5000  8 Sb 2.89
Sb  0.5000  0.5000  0.3126  4 Tc 2.89, 1 Sb 3.18
Sb  0.5000  0.5000  0.6874  4 Tc 2.89, 1 Sb 3.18

Mass density ... 8.02 g/cm³
M_tot ... 0.0001 μB per atom

***

4) Computed, not measured: an optimized crystal structure of BaTcSb2 at the PBE level of DFT.

a = 5.8792 Å, b = 5.8792 Å, c = 16.6239 Å
α = 90.00°, β = 90.00°, γ = 90.00°
Closest atoms and distances in Å follow each position.
Atoms (fractional coordinates):
Ba  0.0000  0.0000  0.0000  4 Sb 3.63
Ba  0.0000  0.5000  0.2500  4 Sb 3.63
Ba  0.5000  0.0000  0.7500  4 Sb 3.63
Ba  0.5000  0.5000  0.5000  4 Sb 3.63
Tc  0.0000  0.0000  0.5000  4 Sb 2.57
Tc  0.0000  0.5000  0.7500  4 Sb 2.57
Tc  0.5000  0.0000  0.2500  4 Sb 2.57
Tc  0.5000  0.5000  0.0000  4 Sb 2.57
Sb  0.0600  0.2500  0.6250  2 Tc 2.57
Sb  0.2500  0.5600  0.8750  2 Tc 2.57
Sb  0.2500  0.9400  0.3750  2 Tc 2.57
Sb  0.4400  0.2500  0.1250  2 Tc 2.57
Sb  0.5600  0.7500  0.1250  2 Tc 2.57
Sb  0.7500  0.0600  0.3750  2 Tc 2.57
Sb  0.7500  0.4400  0.8750  2 Tc 2.57
Sb  0.9400  0.7500  0.6250  2 Tc 2.57

Mass density ... 5.54 g/cm³
M_tot ... 0.2502 μB per atom

***

Last place for stability: 1)

***

1) Computed, not measured: an optimized crystal structure of BaTcSb2 at the PBE level of DFT.

a = 4.5747 Å, b = 4.5747 Å, c = 18.5873 Å
α = 90.00°, β = 90.00°, γ = 120.00°
Closest atoms and distances in Å follow each position.
Atoms (fractional coordinates):
Ba  0.0000  0.0000  0.0000  6 Sb 3.45
Ba  0.3333  0.6667  0.6667  6 Sb 3.45
Ba  0.6667  0.3333  0.3333  6 Sb 3.45
Tc  0.0000  0.0000  0.5000  6 Sb 2.78
Tc  0.3333  0.6667  0.1667  6 Sb 2.78
Tc  0.6667  0.3333  0.8333  6 Sb 2.78
Sb  0.0000  0.0000  0.2141  3 Tc 2.78
Sb  0.0000  0.0000  0.7859  3 Tc 2.78
Sb  0.3333  0.6667  0.4525  3 Tc 2.78
Sb  0.3333  0.6667  0.8808  3 Tc 2.78
Sb  0.6667  0.3333  0.1192  3 Tc 2.78
Sb  0.6667  0.3333  0.5475  3 Tc 2.78

Mass density ... 7.08 g/cm³
M_tot ... 0.0001 μB per atom

***

2) Computed, not measured: an optimized crystal structure of BaTcSb2 at the PBE level of DFT.

a = 3.4608 Å, b = 3.8131 Å, c = 16.6955 Å
α = 90.00°, β = 90.00°, γ = 90.00°
Closest atoms and distances in Å follow each position.
Atoms (fractional coordinates):
Ba  0.0000  0.0000  0.0000  6 Sb 3.44-3.47, 4 Ba 3.46-3.81
Ba  0.5000  0.5000  0.5000  6 Sb 3.44-3.47, 4 Ba 3.46-3.81
Tc  0.0000  0.5000  0.2615  6 Sb 2.67-2.80
Tc  0.5000  0.0000  0.7615  6 Sb 2.67-2.80
Sb  0.0000  0.0000  0.6395  2 Tc 2.67
Sb  0.0000  0.5000  0.8282  4 Tc 2.80
Sb  0.5000  0.0000  0.3282  4 Tc 2.80
Sb  0.5000  0.5000  0.1395  2 Tc 2.67

Mass density ... 7.22 g/cm³
M_tot ... 0.0001 μB per atom

***

3) Computed, not measured: an optimized crystal structure of BaTcSb2 at the PBE level of DFT.

a = 12.5548 Å, b = 3.3919 Å, c = 6.2514 Å
α = 90.00°, β = 118.99°, γ = 90.00°
Closest atoms and distances in Å follow each position.
Atoms (fractional coordinates):
Ba  0.0000  0.0000  0.0000  3 Tc 3.27-3.46, 2 Ba 3.39, 3 Sb 3.58-3.63
Ba  0.5000  0.5000  0.0000  3 Tc 3.27-3.46, 2 Ba 3.39, 3 Sb 3.58-3.63
Tc  0.2515  0.0000  0.9644  4 Sb 2.67-2.69
Tc  0.7515  0.5000  0.9644  4 Sb 2.67-2.69
Sb  0.1589  0.5000  0.5866  2 Tc 2.67
Sb  0.3321  0.5000  0.3462  2 Tc 2.69
Sb  0.6589  0.0000  0.5866  2 Tc 2.67
Sb  0.8321  0.0000  0.3462  2 Tc 2.69

Mass density ... 6.83 g/cm³
M_tot ... 0.1669 μB per atom

***

Last place for stability: 3)